# 1
Computed, not measured: a geometry-optimized PrY2Sb2 structure at the PBE level of DFT.

The structure in POSCAR format:
```
PrY2Sb2
1.0
-0.5646 -2.8491 -3.5474
4.4559 0.4110 -0.9979
3.4178 -6.8074 1.9744
Pr Y Sb
1 2 2
Cartesian
0.0000 0.0000 0.0000
4.9130 -3.8055 -0.6463
2.3961 -5.4400 -1.9245
2.2588 -2.3983 -1.3813
5.0503 -6.8471 -1.1895
```

Output
DOS at the Fermi energy = 0.946 states/eV per atom
VASP energy = -29.53 eV per cell



# 2
Computed, not measured: a geometry-optimized Pr3YSb3 structure at the PBE level of DFT.

The structure in POSCAR format:
```
Pr3YSb3
1.0
9.2516 0.0000 0.0000
4.6258 8.0121 0.0000
4.6258 2.6707 6.3528
Pr Y Sb
6 2 6
Cartesian
5.8867 5.9219 1.6695
10.4314 2.1371 1.6695
11.4368 7.9653 1.6695
7.0665 2.7175 4.6833
8.0718 8.5458 4.6833
12.6166 4.7610 4.6833
4.6258 2.6707 0.0163
13.8774 8.0121 6.3365
11.0819 7.5988 4.8708
10.2915 2.6277 4.8708
6.3815 5.7978 4.8708
12.1217 4.8851 1.4820
8.2118 8.0552 1.4820
7.4214 3.0840 1.4820
```

Output
distance to the lowest polymorph of the same formula = 0.66 eV per formula unit
DOS at the Fermi energy = 0.694 states/eV per atom
VASP energy = -79.70 eV per cell



# 3
Computed, not measured: a geometry-optimized Pr8YSb6 structure at the PBE level of DFT.

The structure in POSCAR format:
```
Pr8YSb6
1.0
-6.7240 -4.2104 2.2888
-0.1413 -8.2294 -0.6597
0.8898 -4.8465 8.5924
Pr Y Sb
8 1 6
Cartesian
-3.3336 -5.8177 4.2157
-4.7165 -7.3676 7.1815
-0.3045 -7.3797 5.4384
-3.6872 -13.1397 9.6781
-2.2883 -4.1466 0.5434
-5.6710 -9.9066 4.7831
-1.2590 -9.9187 3.0400
-2.6419 -11.4686 6.0058
0.0000 0.0000 0.0000
-1.9298 -6.0857 7.7426
-6.1350 -7.0324 3.6662
-1.6609 -7.0626 1.8970
-4.3146 -10.2237 8.3245
0.1595 -10.2539 6.5553
-4.0457 -11.2006 2.4788
```

Output
DOS at the Fermi energy = 1.135 states/eV per atom
VASP energy = -81.76 eV per cell



# 4
Computed, not measured: a geometry-optimized Pr2YSb3 structure at the PBE level of DFT.

The structure in POSCAR format:
```
Pr2YSb3
1.0
-0.8544 1.3737 -4.2062
-1.0871 -6.0336 -1.7498
-5.5564 3.0530 4.5400
Pr Y Sb
2 1 3
Cartesian
-2.6219 0.9300 -1.5779
-4.8760 -2.5369 0.1619
-0.5436 -3.0168 -0.8749
-4.4247 0.4901 1.0589
0.0000 0.0000 0.0000
-3.0732 -2.0970 -2.4748
```

Output
distance to the lowest polymorph of the same formula = 0.01 eV per formula unit
DOS at the Fermi energy = 0.198 states/eV per atom
VASP energy = -35.44 eV per cell



# 5
Computed, not measured: a geometry-optimized Pr2Y2Sb3 structure at the PBE level of DFT.

The structure in POSCAR format:
```
Pr2Y2Sb3
1.0
-4.0542 -5.8263 -3.9853
5.5769 3.2866 -4.9357
3.6915 -3.2235 6.4998
Pr Y Sb
4 4 6
Cartesian
1.7774 -3.3706 -0.4763
1.2966 -1.1322 2.2829
-1.2514 -3.7706 -2.3529
-0.6626 -3.3162 -5.8603
3.1842 -2.7805 5.6065
4.6291 -1.6900 -3.0002
5.3508 -0.7605 0.4493
1.3185 -0.4692 -3.9128
1.9084 -3.5239 -3.6230
4.2485 1.0157 -4.5160
4.8820 -3.9198 -0.5268
0.1509 -6.3684 -0.6372
1.9324 -4.1700 2.8396
2.5204 -0.3234 -0.8003
```

Output
DOS at the Fermi energy = 1.025 states/eV per atom
VASP energy = -84.19 eV per cell



# 6
Computed, not measured: a geometry-optimized PrY2Sb structure at the PBE level of DFT.

The structure in POSCAR format:
```
PrY2Sb
1.0
-2.7925 -1.3484 4.4639
-4.8645 -2.3818 -0.4535
-0.6025 -5.2287 1.3527
Pr Sb Y
1 1 2
Cartesian
-4.1298 -4.4794 2.6815
0.0000 0.0000 0.0000
-6.1950 -6.7184 4.0223
-2.0645 -2.2404 1.3408
```

Output
distance to the lowest polymorph of the same formula = 1.27 eV per formula unit
DOS at the Fermi energy = 1.326 states/eV per atom
VASP energy = -22.94 eV per cell



# 7
Computed, not measured: a geometry-optimized PrZnSb structure at the PBE level of DFT.

The structure in POSCAR format:
```
PrZnSb
1.0
-2.0377 3.2632 -1.8738
-3.7584 -1.6606 1.1952
3.0928 1.5400 4.2048
Pr Sb Zn
1 1 1
Cartesian
-2.8551 1.3180 0.5138
-2.7177 2.9686 3.2390
0.1078 1.2962 2.1400
```

Output
DOS at the Fermi energy = 0.400 states/eV per atom
VASP energy = -11.49 eV per cell



# 8
Computed, not measured: a geometry-optimized PrZnSb structure at the PBE level of DFT.

The structure in POSCAR format:
```
PrZnSb
1.0
4.4490 0.0000 0.0000
0.0000 4.4876 0.0000
0.0000 -2.2438 3.8864
Pr Sb Zn
1 1 1
Cartesian
3.1303 2.2438 1.2955
1.0741 0.0000 2.5909
0.2445 0.0000 0.0000
```

Output
DOS at the Fermi energy = 0.116 states/eV per atom
VASP energy = -12.29 eV per cell



# 9
Computed, not measured: a geometry-optimized PrZnSb2 structure at the PBE level of DFT.

The structure in POSCAR format:
```
PrZnSb2
1.0
4.8017 0.0000 0.0000
0.0000 4.6337 0.0000
0.0000 0.0000 4.6337
Pr Sb Zn
1 2 1
Cartesian
2.4009 2.3169 2.3169
0.0000 0.0000 2.3169
0.0000 2.3169 0.0000
2.4009 0.0000 0.0000
```

Output
DOS at the Fermi energy = 0.366 states/eV per atom
VASP energy = -16.24 eV per cell



# 10
Computed, not measured: a geometry-optimized PrZn2Sb2 structure at the PBE level of DFT.

The structure in POSCAR format:
```
PrZn2Sb2
1.0
4.2309 0.0000 -0.7520
0.0000 4.3209 0.0000
0.1645 0.0000 13.2029
Pr Zn Sb
2 4 4
Cartesian
1.5849 1.0802 8.9167
2.8105 3.2407 3.5342
0.1624 3.2407 0.9137
2.1456 3.2407 12.0712
4.2330 1.0802 11.5372
2.2498 1.0802 0.3797
3.2562 1.0802 6.0417
1.1392 3.2407 6.4092
3.8897 3.2407 9.6058
0.5057 1.0802 2.8451
```

Output
DOS at the Fermi energy = 0.363 states/eV per atom
VASP energy = -35.50 eV per cell



# 11
Computed, not measured: a geometry-optimized Pr4Zn2Sb structure at the PBE level of DFT.

The structure in POSCAR format:
```
Pr4Zn2Sb
1.0
5.0064 0.0000 1.5641
2.2589 4.4679 1.5641
-0.1215 -0.0747 9.1831
Pr Zn Sb
4 2 1
Cartesian
6.2650 3.8527 6.3299
0.8788 0.5404 5.9814
4.4742 2.7515 3.2676
2.6696 1.6417 9.0437
5.3854 3.3118 9.1453
1.7584 1.0813 3.1660
0.0000 0.0000 0.0000
```

Output
DOS at the Fermi energy = 1.052 states/eV per atom
VASP energy = -28.18 eV per cell



# 12
Computed, not measured: a geometry-optimized Pr8Zn2Sb structure at the PBE level of DFT.

The structure in POSCAR format:
```
Pr8Zn2Sb
1.0
5.1891 0.0000 0.0000
0.0000 7.2120 0.4569
-2.5945 -2.5507 9.2339
Pr Zn Sb
8 2 1
Cartesian
0.0000 1.8967 7.7765
2.5945 6.1061 3.5391
2.5945 3.3653 5.7945
2.5945 -0.6466 8.7320
0.0000 1.2960 3.8963
0.0000 -1.4448 6.1517
2.5945 2.7646 1.9142
0.0000 5.3079 0.9587
2.5945 0.3592 5.8091
0.0000 4.3021 3.8816
2.5945 0.0000 0.0000
```

Output
DOS at the Fermi energy = 1.066 states/eV per atom
VASP energy = -47.57 eV per cell



# 13
Computed, not measured: a geometry-optimized PrZnSb structure at the PBE level of DFT.

The structure in POSCAR format:
```
PrZnSb
1.0
-3.4882 -4.6378 2.0960
-1.4889 -2.5224 -3.3448
5.5218 -3.6339 0.2589
Sb Pr Zn
2 2 2
Cartesian
2.3996 -4.8657 -0.3790
-1.8549 -5.9284 -0.6109
-0.2648 -3.0640 -0.5243
0.8095 -7.7300 -0.4656
-2.4856 -4.4208 1.4869
3.0303 -6.3732 -2.4769
```

Output
DOS at the Fermi energy = 0.199 states/eV per atom
VASP energy = -24.22 eV per cell



# 14
Computed, not measured: a geometry-optimized Pr5Zn2Sb structure at the PBE level of DFT.

The structure in POSCAR format:
```
Pr5Zn2Sb
1.0
7.1793 0.0000 -3.3890
-1.5998 6.9988 -3.3890
0.0341 0.0427 9.3710
Pr Zn Sb
10 4 2
Cartesian
2.5795 4.8639 2.4963
4.2365 6.9424 -3.2924
0.0000 0.0000 0.0000
2.7898 3.4994 -3.3890
1.3771 0.0991 5.8854
4.6775 1.3645 3.5781
-0.7209 3.5985 4.8036
0.9361 5.6770 -0.9851
6.3345 3.4430 -2.2106
3.0341 2.1776 0.0967
0.2902 2.6304 -1.6945
4.2825 0.8691 -2.5361
1.2971 6.1298 -4.2419
5.2893 4.3685 -5.0835
4.2017 5.2705 -0.3980
1.4119 1.7711 2.9910
```

Output
DOS at the Fermi energy = 1.280 states/eV per atom
VASP energy = -68.00 eV per cell



# 15
Computed, not measured: a geometry-optimized PrZnSb2 structure at the PBE level of DFT.

The structure in POSCAR format:
```
PrZnSb2
1.0
4.3870 0.0000 0.0000
2.1935 3.7992 0.0000
2.1935 1.2664 6.8975
Pr Sb Zn
1 2 1
Cartesian
4.3870 2.5328 3.4488
2.1935 1.2664 1.4701
6.5804 3.7992 5.4274
0.0000 0.0000 0.0000
```

Output
DOS at the Fermi energy = 0.564 states/eV per atom
VASP energy = -15.50 eV per cell



# 16
Computed, not measured: a geometry-optimized Pr4ZrSb5 structure at the PBE level of DFT.

The structure in POSCAR format:
```
Pr4ZrSb5
1.0
-0.4813 0.2935 4.4465
3.8395 -2.2427 0.5636
6.2706 14.5748 -2.5423
Pr Zr Sb
4 1 5
Cartesian
6.3778 10.9110 -0.0299
6.4824 7.2428 2.4826
3.1464 5.3828 -0.0147
3.2510 1.7145 2.4977
0.0000 0.0000 0.0000
1.4963 2.5599 -0.0070
1.6791 -0.9746 2.5051
8.1325 10.0657 2.4749
4.7706 8.1614 -0.0223
4.8582 4.4642 2.4902
```

Output
DOS at the Fermi energy = 0.311 states/eV per atom
VASP energy = -58.50 eV per cell



# 17
Computed, not measured: a geometry-optimized Pr2ZrSb3 structure at the PBE level of DFT.

The structure in POSCAR format:
```
Pr2ZrSb3
1.0
-2.2135 2.2135 9.3163
2.2135 -2.2135 9.3163
2.2135 2.2135 -9.3163
Pr Zr Sb
2 1 3
Cartesian
0.0000 0.0000 12.4489
0.0000 0.0000 6.1838
0.0000 0.0000 0.0000
0.0000 0.0000 9.3163
0.0000 0.0000 15.6788
0.0000 0.0000 2.9538
```

Output
DOS at the Fermi energy = 0.384 states/eV per atom
VASP energy = -35.99 eV per cell



# 18
Computed, not measured: a geometry-optimized PrZrSb structure at the PBE level of DFT.

The structure in POSCAR format:
```
PrZrSb
1.0
4.4120 0.0000 0.0000
0.0000 4.4120 0.0000
0.0000 0.0000 8.4927
Pr Zr Sb
2 2 2
Cartesian
0.0000 2.2060 7.2454
2.2060 0.0000 1.2474
2.2060 2.2060 4.2464
0.0000 0.0000 4.2464
0.0000 2.2060 2.1198
2.2060 0.0000 6.3729
```

Output
DOS at the Fermi energy = 0.995 states/eV per atom
VASP energy = -39.81 eV per cell



# 19
Computed, not measured: a geometry-optimized Pr3ZrSb5 structure at the PBE level of DFT.

The structure in POSCAR format:
```
Pr3ZrSb5
1.0
9.6357 0.0000 0.0000
-4.8179 8.3448 0.0000
0.0000 0.0000 6.3092
Pr Zr Sb
6 2 10
Cartesian
5.9650 0.0000 4.7319
3.6708 0.0000 1.5773
-2.9825 5.1658 4.7319
-1.8354 3.1790 1.5773
1.8354 3.1790 4.7319
2.9825 5.1658 1.5773
0.0000 0.0000 3.1546
0.0000 0.0000 0.0000
2.5383 0.0000 4.7319
7.0975 0.0000 1.5773
-1.2691 2.1982 4.7319
-3.5487 6.1466 1.5773
3.5487 6.1466 4.7319
1.2691 2.1982 1.5773
0.0000 5.5632 3.1546
4.8179 2.7816 3.1546
4.8179 2.7816 0.0000
0.0000 5.5632 0.0000
```

Output
DOS at the Fermi energy = 0.291 states/eV per atom
VASP energy = -104.42 eV per cell



# 20
Computed, not measured: a geometry-optimized PrZrSb3 structure at the PBE level of DFT.

The structure in POSCAR format:
```
PrZrSb3
1.0
-5.1747 -1.1993 3.6410
-3.1457 -2.0821 -5.1566
4.5532 -12.6152 2.3159
Pr Zr Sb
4 4 12
Cartesian
-2.3184 -10.5068 1.7871
-1.4488 -5.3897 -0.9868
-5.5385 -6.9837 -1.6291
1.7713 -8.9128 2.4294
-2.9639 -2.2558 0.7398
1.7841 -13.0411 -1.7600
-0.8033 -13.6407 0.0605
-0.3765 -1.6561 -1.0807
1.4761 -6.7891 -0.1383
-2.6560 -8.5077 -0.8819
-0.0686 -7.9081 -2.7023
-1.1112 -7.3888 1.6821
2.4902 -12.1579 2.3822
-6.2574 -3.7386 -1.5819
-2.8980 -2.6280 -2.1368
-0.8692 -13.2685 2.9370
0.5983 -10.9929 0.0770
-4.3655 -4.9036 0.7233
-0.2359 -3.2832 1.4310
-3.5313 -12.6133 -0.6307
```

Output
DOS at the Fermi energy = 0.579 states/eV per atom
VASP energy = -117.93 eV per cell